1.
A geometry-optimized HgIr2Ru structure, computed with GGA-PBE.

The structure in CIF format:
```
data_HgIr2Ru
_chemical_formula_sum 'Hg2 Ir4 Ru2'
_space_group_name_H-M_alt 'I 4/m m m'
_space_group_IT_number 139
_space_group_name_Hall '-I 4 2'
_cell_length_a 3.9490
_cell_length_b 3.9490
_cell_length_c 8.0534
_cell_angle_alpha 90.00
_cell_angle_beta 90.00
_cell_angle_gamma 90.00
loop_
_atom_site_label
_atom_site_type_symbol
_atom_site_fract_x
_atom_site_fract_y
_atom_site_fract_z
Hg1 Hg 0.0000 0.0000 0.0000
Ir1 Ir 0.0000 0.5000 0.2500
Ru1 Ru 0.0000 0.0000 0.5000
```

Results
- Electronic total energy: -6.36 eV per atom
- DOS at the Fermi energy: 9.8 states/eV per cell

---

2.
A geometry-optimized AlAg2Pd6 structure, computed with GGA-PBE.

The structure in CIF format:
```
data_AlAg2Pd6
_chemical_formula_sum 'Al2 Ag4 Pd12'
_space_group_name_H-M_alt 'C 1 2/m 1'
_space_group_IT_number 12
_cell_length_a 14.0948
_cell_length_b 7.6367
_cell_length_c 2.8142
_cell_angle_alpha 90.00
_cell_angle_beta 100.57
_cell_angle_gamma 90.00
loop_
_space_group_symop_operation_xyz
'x,y,z'
'-x,-y,-z'
'-x,y,-z'
'x,-y,z'
'x+1/2,y+1/2,z'
'-x+1/2,-y+1/2,-z'
'-x+1/2,y+1/2,-z'
'x+1/2,-y+1/2,z'
loop_
_atom_site_label
_atom_site_type_symbol
_atom_site_fract_x
_atom_site_fract_y
_atom_site_fract_z
Al1 Al 0.0000 0.0000 0.0000
Ag1 Ag 0.1579 0.5000 0.6272
Pd1 Pd 0.0000 0.2711 0.5000
Pd2 Pd 0.1668 0.1791 0.1515
```

Results
- Electronic total energy: -4.69 eV per atom
- DOS at the Fermi energy: 10.5 states/eV per cell

---

| no. | energy of formation (eV per atom) |
| --- | --- |
| 1 | 0.4611 |
| 2 | -0.1763 |